Below is CsZrP2O after structural relaxation, with properties calculated at the PBE level.

abc: 5.2409 5.2409 4.2462
angles: 90.00 90.00 90.00
Last column: nearest neighbours and their distance in Å.
Sites, in units of the cell vectors:
Cs1 0.0000 0.0000 0.0000  2 O 2.12
Zr1 0.5000 0.5000 0.5000  8 P 3.37, 4 O 3.71
P1 0.0000 0.5000 0.0000  2 Cs 2.62
P2 0.5000 0.0000 0.0000  2 Cs 2.62
O1 0.0000 0.0000 0.5000  2 Cs 2.12

## Properties
* space group: P4/mmm, No. 123
* E_tot: -0.1398 hartree per atom
* formation energy from raw total energies: 1.23 eV/atom

Below is Cs4Pa3O10 after structural relaxation, with properties calculated at the PBE level.

abc: 16.8565 16.8565 16.8565
angles: 164.78 164.78 21.59
Last column: nearest neighbours and their distance in Å.
Sites, in units of the cell vectors:
Cs1 0.0678 0.0678 0.0000  12 O 3.14-3.17
Cs2 0.2074 0.2074 0.0000  9 O 3.18-3.29
Cs3 0.7926 0.7926 0.0000  9 O 3.18-3.29
Cs4 0.9322 0.9322 0.0000  12 O 3.14-3.17
Pa1 0.3652 0.3652 0.0000  5 O 2.01-2.23
Pa2 0.5000 0.5000 0.0000  6 O 2.19-2.23
Pa3 0.6348 0.6348 0.0000  5 O 2.01-2.23
O1 0.0000 0.5000 0.5000  2 Pa 2.23
O2 0.1345 0.6345 0.5000  2 Pa 2.23
O3 0.3045 0.3045 0.0000  1 Pa 2.01
O4 0.3655 0.8655 0.5000  2 Pa 2.23
O5 0.4339 0.4339 0.0000  2 Pa 2.19-2.27
O6 0.5000 0.0000 0.5000  2 Pa 2.23
O7 0.5661 0.5661 0.0000  2 Pa 2.19-2.27
O8 0.6345 0.1345 0.5000  2 Pa 2.23
O9 0.6955 0.6955 0.0000  1 Pa 2.01
O10 0.8655 0.3655 0.5000  2 Pa 2.23

## Properties
* space group: I4/mmm, No. 139
* E_tot: -0.2796 hartree per atom
* formation energy from raw total energies: -2.81 eV/atom

Below is Cs3PaO4 after structural relaxation, with properties calculated at the PBE level.

abc: 7.1517 7.1517 8.2680
angles: 90.00 90.00 90.00
Last column: nearest neighbours and their distance in Å.
Sites, in units of the cell vectors:
Cs1 0.0000 0.0000 0.0000  4 O 3.00
Cs2 0.0000 0.5000 0.2500  8 O 3.30
Cs3 0.0000 0.5000 0.7500  8 O 3.30
Cs4 0.5000 0.0000 0.2500  8 O 3.30
Cs5 0.5000 0.0000 0.7500  8 O 3.30
Cs6 0.5000 0.5000 0.5000  4 O 3.00
Pa1 0.0000 0.0000 0.5000  4 O 2.05
Pa2 0.5000 0.5000 0.0000  4 O 2.05
O1 0.2031 0.2031 0.5000  1 Pa 2.05
O2 0.2031 0.7969 0.5000  1 Pa 2.05
O3 0.2969 0.2969 0.0000  1 Pa 2.05
O4 0.2969 0.7031 0.0000  1 Pa 2.05
O5 0.7031 0.2969 0.0000  1 Pa 2.05
O6 0.7031 0.7031 0.0000  1 Pa 2.05
O7 0.7969 0.2031 0.5000  1 Pa 2.05
O8 0.7969 0.7969 0.5000  1 Pa 2.05

## Properties
* space group: I4/mmm, No. 139
* E_tot: -0.2256 hartree per atom
* offset from the most stable computed form: 126 meV per atom
* formation energy from raw total energies: -2.15 eV/atom

Below is CsPaO4 after structural relaxation, with properties calculated at the PBE level.

abc: 6.7031 6.7031 6.2378
angles: 106.83 106.83 95.86
Last column: nearest neighbours and their distance in Å.
Sites, in units of the cell vectors:
Cs1 0.1289 0.8711 0.7500  4 O 3.02-3.05
Cs2 0.8711 0.1289 0.2500  4 O 3.02-3.05
Pa1 0.4178 0.5821 0.2500  6 O 2.16-2.23
Pa2 0.5821 0.4178 0.7500  6 O 2.16-2.23
O1 0.1221 0.7079 0.1523  1 O 1.49
O2 0.2921 0.8779 0.3477  1 O 1.49
O3 0.3051 0.4302 0.4675  2 Pa 2.16-2.19
O4 0.4302 0.3051 0.9675  2 Pa 2.16-2.19
O5 0.5698 0.6949 0.0325  2 Pa 2.16-2.19
O6 0.6949 0.5698 0.5325  2 Pa 2.16-2.19
O7 0.7079 0.1221 0.6523  1 O 1.49
O8 0.8779 0.2921 0.8477  1 O 1.49

## Properties
* space group: C2/c, No. 15
* E_tot: -0.2736 hartree per atom
* offset from the most stable computed form: 57 meV per atom
* formation energy from raw total energies: -2.41 eV/atom

Below is Cs3PaO4 after structural relaxation, with properties calculated at the PBE level.

abc: 9.2083 7.8936 6.9049
angles: 90.00 90.00 90.00
Last column: nearest neighbours and their distance in Å.
Sites, in units of the cell vectors:
Cs1 0.0000 0.1593 0.0000  4 O 2.95-3.10
Cs2 0.2429 0.3260 0.4994  4 O 2.94-3.06
Cs3 0.2571 0.6740 0.9994  4 O 2.94-3.06
Cs4 0.5000 0.8407 0.5000  4 O 2.95-3.10
Cs5 0.7429 0.6740 0.9994  4 O 2.94-3.06
Cs6 0.7571 0.3260 0.4994  4 O 2.94-3.06
Pa1 0.0000 0.8247 0.4860  4 O 2.07
Pa2 0.5000 0.1753 0.9860  4 O 2.07
O1 0.0000 0.0773 0.5678  1 Pa 2.07
O2 0.0000 0.8221 0.1855  1 Pa 2.07
O3 0.1887 0.7012 0.5666  1 Pa 2.07
O4 0.3113 0.2988 0.0666  1 Pa 2.07
O5 0.5000 0.1779 0.6855  1 Pa 2.07
O6 0.5000 0.9227 0.0678  1 Pa 2.07
O7 0.6887 0.2988 0.0666  1 Pa 2.07
O8 0.8113 0.7012 0.5666  1 Pa 2.07

## Properties
* space group: Pmn2_1, No. 31
* E_tot: -0.2302 hartree per atom
* offset from the most stable computed form: 0 meV per atom
* formation energy from raw total energies: -2.28 eV/atom

Below is CsPa5O12 after structural relaxation, with properties calculated at the PBE level.

abc: 6.3655 7.2741 7.2781
angles: 104.08 98.42 90.53
Last column: nearest neighbours and their distance in Å.
Sites, in units of the cell vectors:
Cs1 0.0000 0.0000 0.0000  6 O 2.99-3.27
Pa1 0.2348 0.6030 0.4280  6 O 2.17-2.36
Pa2 0.2602 0.1340 0.5676  6 O 2.14-2.35
Pa3 0.5000 0.5000 0.0000  4 O 2.10-2.18
Pa4 0.7398 0.8660 0.4324  6 O 2.14-2.35
Pa5 0.7652 0.3970 0.5720  6 O 2.17-2.36
O1 0.0562 0.3269 0.4031  3 Pa 2.25-2.36
O2 0.0715 0.8757 0.3655  3 Pa 2.24-2.36
O3 0.2196 0.5527 0.1204  2 Pa 2.10-2.17
O4 0.3738 0.2113 0.8689  2 Pa 2.14-2.18
O5 0.4131 0.4716 0.6633  4 Pa 2.32-2.53
O6 0.4479 0.8593 0.5753  3 Pa 2.24-2.35
O7 0.5521 0.1407 0.4247  3 Pa 2.24-2.35
O8 0.5869 0.5284 0.3367  4 Pa 2.32-2.53
O9 0.6262 0.7887 0.1311  2 Pa 2.14-2.18
O10 0.7804 0.4473 0.8796  2 Pa 2.10-2.17
O11 0.9285 0.1243 0.6345  3 Pa 2.24-2.36
O12 0.9438 0.6731 0.5969  3 Pa 2.25-2.36

## Properties
* space group: P-1, No. 2
* E_tot: -0.3432 hartree per atom
* formation energy from raw total energies: -3.35 eV/atom

Below is Cs3Pa2O8 after structural relaxation, with properties calculated at the PBE level.

abc: 9.4586 9.4586 9.4586
angles: 40.03 40.03 40.03
Last column: nearest neighbours and their distance in Å.
Sites, in units of the cell vectors:
Cs1 0.0000 0.0000 0.0000  6 O 3.31
Cs2 0.1933 0.1933 0.1933  10 O 3.20-3.41
Cs3 0.8067 0.8067 0.8067  10 O 3.20-3.41
Pa1 0.3929 0.3929 0.3929  4 O 1.97-2.00
Pa2 0.6071 0.6071 0.6071  4 O 1.97-2.00
O1 0.2680 0.7172 0.7172  1 Pa 1.97
O2 0.2828 0.2828 0.7320  1 Pa 1.97
O3 0.2828 0.7320 0.2828  1 Pa 1.97
O4 0.3162 0.3162 0.3162  1 Pa 2.00
O5 0.6838 0.6838 0.6838  1 Pa 2.00
O6 0.7172 0.2680 0.7172  1 Pa 1.97
O7 0.7172 0.7172 0.2680  1 Pa 1.97
O8 0.7320 0.2828 0.2828  1 Pa 1.97

## Properties
* space group: R-3m, No. 166
* E_tot: -0.2506 hartree per atom
* formation energy from raw total energies: -2.11 eV/atom

Below is Cs2PaO5 after structural relaxation, with properties calculated at the PBE level.

abc: 6.8510 6.8510 4.4461
angles: 90.00 90.00 90.00
Last column: nearest neighbours and their distance in Å.
Sites, in units of the cell vectors:
Cs1 0.0000 0.5000 0.0000  10 O 3.32-3.43
Cs2 0.5000 0.0000 0.0000  10 O 3.32-3.43
Pa1 0.0000 0.0000 0.5000  4 O 1.98
O1 0.0000 0.0000 0.0000  2 Pa 2.22
O2 0.2043 0.2043 0.5000  1 Pa 1.98
O3 0.2043 0.7957 0.5000  1 Pa 1.98
O4 0.7957 0.2043 0.5000  1 Pa 1.98
O5 0.7957 0.7957 0.5000  1 Pa 1.98

## Properties
* space group: P4/mmm, No. 123
* E_tot: -0.2369 hartree per atom
* formation energy from raw total energies: -1.95 eV/atom

no.,V (Å³/cell)
1,116.6
2,330.2
3,422.9
4,251.4
5,501.9
6,323.0
7,315.4
8,208.7